<P>
# ReHgIO2

An optimized crystal structure of ReHgIO2 (PBE, Alexandria via LeMat-Bulk).

a = 4.146 Å, b = 4.146 Å, c = 6.664 Å
α = 90.00°, β = 90.00°, γ = 90.00°
Fractional coordinates of all 5 atoms:
Re1 0.000 0.000 0.000
Hg1 0.500 0.500 0.500
I1 0.500 0.500 0.000
O1 0.000 0.500 0.500
O2 0.500 0.000 0.500

Output
Crystal system = tetragonal
Total moment = 4.9 μB/cell
D(E_F) = 0.601 states/eV per atom
Space group = P4/mmm

<Q>
# ReHgIO2

An optimized crystal structure of ReHgIO2 (PBE, Alexandria via LeMat-Bulk).

a = 3.960 Å, b = 3.960 Å, c = 6.194 Å
α = 90.00°, β = 90.00°, γ = 90.00°
Fractional coordinates of all 5 atoms:
Re1 0.000 0.000 0.000
Hg1 0.500 0.500 0.500
I1 0.000 0.000 0.500
O1 0.000 0.500 0.000
O2 0.500 0.000 0.000

Output
Crystal system = tetragonal
Total moment = 0.4 μB/cell
D(E_F) = 0.299 states/eV per atom
Space group = P4/mmm

Least stable: <P>

<P>
# HgRhI2O

An optimized crystal structure of HgRhI2O (PBE, Alexandria via LeMat-Bulk).

a = 5.737 Å, b = 5.737 Å, c = 3.773 Å
α = 90.00°, β = 90.00°, γ = 90.00°
Fractional coordinates of all 5 atoms:
Hg1 0.000 0.000 0.000
Rh1 0.500 0.500 0.500
I1 0.000 0.500 0.500
I2 0.500 0.000 0.500
O1 0.500 0.500 0.000

Output
Crystal system = tetragonal
Total moment = 0.0 μB/cell
D(E_F) = 0.842 states/eV per atom
Space group = P4/mmm

<Q>
# HgRhI2O

An optimized crystal structure of HgRhI2O (PBE, Alexandria via LeMat-Bulk).

a = 5.925 Å, b = 5.925 Å, c = 4.020 Å
α = 90.00°, β = 90.00°, γ = 90.00°
Fractional coordinates of all 5 atoms:
Hg1 0.000 0.000 0.000
Rh1 0.500 0.500 0.500
I1 0.000 0.500 0.000
I2 0.500 0.000 0.000
O1 0.000 0.000 0.500

Output
Crystal system = tetragonal
Total moment = 2.1 μB/cell
D(E_F) = 1.552 states/eV per atom
Space group = P4/mmm

Least stable: <Q>

<P>
# HgRuI2O

An optimized crystal structure of HgRuI2O (PBE, Alexandria via LeMat-Bulk).

a = 5.678 Å, b = 5.678 Å, c = 3.766 Å
α = 90.00°, β = 90.00°, γ = 90.00°
Fractional coordinates of all 5 atoms:
Hg1 0.000 0.000 0.000
Ru1 0.500 0.500 0.500
I1 0.000 0.500 0.500
I2 0.500 0.000 0.500
O1 0.500 0.500 0.000

Output
Crystal system = tetragonal
Total moment = 0.4 μB/cell
D(E_F) = 0.917 states/eV per atom
Space group = P4/mmm

<Q>
# HgRuI2O

An optimized crystal structure of HgRuI2O (PBE, Alexandria via LeMat-Bulk).

a = 5.965 Å, b = 5.965 Å, c = 4.023 Å
α = 90.00°, β = 90.00°, γ = 90.00°
Fractional coordinates of all 5 atoms:
Hg1 0.000 0.000 0.000
Ru1 0.500 0.500 0.500
I1 0.000 0.500 0.000
I2 0.500 0.000 0.000
O1 0.000 0.000 0.500

Output
Crystal system = tetragonal
Total moment = 3.2 μB/cell
D(E_F) = 1.613 states/eV per atom
Space group = P4/mmm

Least stable: <Q>

<P>
# HgRuIO2

An optimized crystal structure of HgRuIO2 (PBE, Alexandria via LeMat-Bulk).

a = 4.103 Å, b = 4.103 Å, c = 6.860 Å
α = 90.00°, β = 90.00°, γ = 90.00°
Fractional coordinates of all 5 atoms:
Hg1 0.000 0.000 0.000
Ru1 0.500 0.500 0.500
I1 0.000 0.000 0.500
O1 0.000 0.500 0.000
O2 0.500 0.000 0.000

Output
Crystal system = tetragonal
Total moment = 3.7 μB/cell
D(E_F) = 1.557 states/eV per atom
Space group = P4/mmm

<Q>
# HgRuIO2

An optimized crystal structure of HgRuIO2 (PBE, Alexandria via LeMat-Bulk).

a = 3.996 Å, b = 3.996 Å, c = 5.728 Å
α = 90.00°, β = 90.00°, γ = 90.00°
Fractional coordinates of all 5 atoms:
Hg1 0.000 0.000 0.000
Ru1 0.500 0.500 0.500
I1 0.500 0.500 0.000
O1 0.000 0.500 0.500
O2 0.500 0.000 0.500

Output
Crystal system = tetragonal
Total moment = 0.0 μB/cell
D(E_F) = 1.025 states/eV per atom
Space group = P4/mmm

Least stable: <P>

<P>
# HgSbIO2

An optimized crystal structure of HgSbIO2 (PBE, Alexandria via LeMat-Bulk).

a = 4.401 Å, b = 4.401 Å, c = 5.783 Å
α = 90.00°, β = 90.00°, γ = 90.00°
Fractional coordinates of all 5 atoms:
Hg1 0.000 0.000 0.000
Sb1 0.500 0.500 0.500
I1 0.000 0.000 0.500
O1 0.000 0.500 0.000
O2 0.500 0.000 0.000

Output
Crystal system = tetragonal
Total moment = 0.0 μB/cell
D(E_F) = 0.839 states/eV per atom
Space group = P4/mmm

<Q>
# HgSbIO2

An optimized crystal structure of HgSbIO2 (PBE, Alexandria via LeMat-Bulk).

a = 4.162 Å, b = 4.162 Å, c = 6.744 Å
α = 90.00°, β = 90.00°, γ = 90.00°
Fractional coordinates of all 5 atoms:
Hg1 0.000 0.000 0.000
Sb1 0.500 0.500 0.500
I1 0.500 0.500 0.000
O1 0.000 0.500 0.500
O2 0.500 0.000 0.500

Output
Crystal system = tetragonal
Total moment = 0.0 μB/cell
D(E_F) = 0.159 states/eV per atom
Space group = P4/mmm

Least stable: <P>

<P>
# HgSb2IO

An optimized crystal structure of HgSb2IO (PBE, Alexandria via LeMat-Bulk).

a = 5.592 Å, b = 5.592 Å, c = 5.713 Å
α = 90.00°, β = 90.00°, γ = 90.00°
Fractional coordinates of all 5 atoms:
Hg1 0.000 0.000 0.000
Sb1 0.000 0.500 0.000
Sb2 0.500 0.000 0.000
I1 0.000 0.000 0.500
O1 0.500 0.500 0.500

Output
Crystal system = tetragonal
Total moment = 0.0 μB/cell
D(E_F) = 2.200 states/eV per atom
Space group = P4/mmm

<Q>
# HgSb2IO

An optimized crystal structure of HgSb2IO (PBE, Alexandria via LeMat-Bulk).

a = 4.511 Å, b = 4.511 Å, c = 7.338 Å
α = 90.00°, β = 90.00°, γ = 90.00°
Fractional coordinates of all 5 atoms:
Hg1 0.000 0.000 0.000
Sb1 0.000 0.500 0.500
Sb2 0.500 0.000 0.500
I1 0.500 0.500 0.000
O1 0.500 0.500 0.500

Output
Crystal system = tetragonal
Total moment = 0.0 μB/cell
D(E_F) = 0.710 states/eV per atom
Space group = P4/mmm

Least stable: <P>

<P>
# ScHgI2O

An optimized crystal structure of ScHgI2O (PBE, Alexandria via LeMat-Bulk).

a = 6.043 Å, b = 6.043 Å, c = 4.047 Å
α = 90.00°, β = 90.00°, γ = 90.00°
Fractional coordinates of all 5 atoms:
Sc1 0.000 0.000 0.000
Hg1 0.500 0.500 0.500
I1 0.000 0.500 0.500
I2 0.500 0.000 0.500
O1 0.500 0.500 0.000

Output
Crystal system = tetragonal
Total moment = 0.9 μB/cell
D(E_F) = 0.741 states/eV per atom
Space group = P4/mmm

<Q>
# ScHgI2O

An optimized crystal structure of ScHgI2O (PBE, Alexandria via LeMat-Bulk).

a = 6.036 Å, b = 6.036 Å, c = 3.901 Å
α = 90.00°, β = 90.00°, γ = 90.00°
Fractional coordinates of all 5 atoms:
Sc1 0.000 0.000 0.000
Hg1 0.500 0.500 0.500
I1 0.000 0.500 0.000
I2 0.500 0.000 0.000
O1 0.000 0.000 0.500

Output
Crystal system = tetragonal
Total moment = 0.0 μB/cell
D(E_F) = 0.662 states/eV per atom
Space group = P4/mmm

Least stable: <P>

<P>
# SiHgI2O

An optimized crystal structure of SiHgI2O (PBE, Alexandria via LeMat-Bulk).

a = 5.999 Å, b = 5.999 Å, c = 4.049 Å
α = 90.00°, β = 90.00°, γ = 90.00°
Fractional coordinates of all 5 atoms:
Si1 0.000 0.000 0.000
Hg1 0.500 0.500 0.500
I1 0.000 0.500 0.500
I2 0.500 0.000 0.500
O1 0.500 0.500 0.000

Output
Crystal system = tetragonal
Total moment = 0.0 μB/cell
D(E_F) = 0.875 states/eV per atom
Space group = P4/mmm

<Q>
# SiHgI2O

An optimized crystal structure of SiHgI2O (PBE, Alexandria via LeMat-Bulk).

a = 5.867 Å, b = 5.867 Å, c = 3.540 Å
α = 90.00°, β = 90.00°, γ = 90.00°
Fractional coordinates of all 5 atoms:
Si1 0.000 0.000 0.000
Hg1 0.500 0.500 0.500
I1 0.000 0.500 0.000
I2 0.500 0.000 0.000
O1 0.000 0.000 0.500

Output
Crystal system = tetragonal
Total moment = 0.0 μB/cell
D(E_F) = 0.604 states/eV per atom
Space group = P4/mmm

Least stable: <P>